1.
Below is crystalline Rb3Tb2HfSe6 at its relaxed geometry, with properties calculated at the PBE level.

Computed properties:
The calculation puts the energy at -5.140 eV per atom. The density of states at the Fermi level is 0.3530 states/eV per atom.

Cell lengths 7.165, 7.165, 8.366 Å; angles 98.23, 98.23, 120.00 degrees
Atoms (fractional coordinates):
Se  0.750  0.750  0.196
Se  0.935  0.619  0.806
Se  0.381  0.065  0.194
Se  0.619  0.935  0.806
Se  0.065  0.381  0.194
Se  0.250  0.250  0.804
Tb  0.666  0.334  0.000
Tb  0.334  0.666  0.000
Hf  0.000  0.000  0.000
Rb  0.829  0.171  0.500
Rb  0.171  0.829  0.500
Rb  0.500  0.500  0.500

=====

2.
Below is crystalline HfCd2Rh at its relaxed geometry, with properties calculated at the PBE level.

Computed properties:
The density of states at the Fermi level is 0.7858 states/eV per atom. The value obtained for the formation energy from the elements is 0.7 eV/f.u.

Cell lengths 7.978, 7.978, 6.225 Å; angles 50.15, 50.15, 90.00 degrees
Atoms (fractional coordinates):
Cd  0.588  0.125  0.250
Cd  0.162  0.625  0.250
Cd  0.375  0.412  0.750
Cd  0.875  0.838  0.750
Rh  0.500  0.500  0.000
Rh  0.250  0.750  0.500
Hf  0.000  0.000  0.000
Hf  0.750  0.250  0.500

=====

3.
Below is crystalline RbGaReGe2 at its relaxed geometry, with properties calculated at the PBE level.

Computed properties:
The density of states at the Fermi level is 0.4591 states/eV per atom. The value obtained for the formation energy from the elements is 0.2 eV/f.u.

Cell lengths 4.915, 4.915, 4.990 Å; angles 90.00, 90.00, 90.00 degrees
Atoms (fractional coordinates):
Rb  0.500  0.500  0.500
Ga  0.000  0.000  0.500
Ge  0.500  0.000  0.000
Ge  0.000  0.500  0.000
Re  0.000  0.000  0.000

=====

4.
Below is crystalline RbI2Br at its relaxed geometry, with properties calculated at the PBE level.

Computed properties:
The calculation puts the energy at -2.282 eV per atom. The density of states at the Fermi level is 0.0000 states/eV per atom.

Cell lengths 5.305, 6.235, 7.318 Å; angles 94.49, 90.00, 115.18 degrees
Atoms (fractional coordinates):
I  0.909  0.819  0.042
I  0.740  0.481  0.727
Rb  0.269  0.539  0.327
Br  0.581  0.162  0.404

=====

What did the first record say?
Below is crystalline Rb3Tb2HfSe6 at its relaxed geometry, with properties calculated at the PBE level.

Computed properties:
The calculation puts the energy at -5.140 eV per atom. The density of states at the Fermi level is 0.3530 states/eV per atom.

Cell lengths 7.165, 7.165, 8.366 Å; angles 98.23, 98.23, 120.00 degrees
Atoms (fractional coordinates):
Se  0.750  0.750  0.196
Se  0.935  0.619  0.806
Se  0.381  0.065  0.194
Se  0.619  0.935  0.806
Se  0.065  0.381  0.194
Se  0.250  0.250  0.804
Tb  0.666  0.334  0.000
Tb  0.334  0.666  0.000
Hf  0.000  0.000  0.000
Rb  0.829  0.171  0.500
Rb  0.171  0.829  0.500
Rb  0.500  0.500  0.500